Cd2InSe | SCAN | PBEsol geometry

## Properties
Its uncorrected formation energy is -0.081 eV/atom. Its total energy is -229.239 eV for the cell shown. Its density of states at the Fermi level is 0.24 states/eV/atom. The space group is Imm2 (44).

POSCAR file:
```
Cd2InSe
1.0
3.848 0.000 0.000
0.000 4.231 0.000
0.000 0.000 11.589
Cd In Se
4 2 2
direct
0.000 0.000 0.000
0.000 0.500 0.228
0.500 0.000 0.728
0.500 0.500 0.500
0.000 0.500 0.804
0.500 0.000 0.304
0.000 0.000 0.534
0.500 0.500 0.034
```